Material: ZnNi2Ag
Method: DFT, PBE
State: optimized geometry

## Properties
* calculated formation energy: 0.3 eV/f.u.
* DOS(E_F): 3.06 states/eV/cell
* spin magnetization: 0.00 μB per formula unit

POSCAR file:
```
ZnNi2Ag
1.0
5.004 0.058 0.084
2.248 4.471 -0.084
-3.120 -3.075 2.422
Ag Ni Zn
1 2 1
Direct
0.250 0.750 0.500 Ag
0.987 0.987 0.000 Ni
0.513 0.513 0.000 Ni
0.750 0.250 0.500 Zn
```